Density functional theory data (GGA-PBE) for a relaxed Tb2PrSm5Er crystal.

The value obtained for the formation energy is 1.313 eV per formula unit. The density of states at the Fermi level comes out at 14.02 states/eV/f.u. The total moment comes out at 0.00 μB per formula unit. The calculation puts the total energy at -4.54 eV/atom.

The space group is Cmc2_1 (No. 36) and the conventional cell measures 5.6521, 20.2648 and 10.7415 Å, with angles of 90.00, 90.00 and 90.00 degrees. The asymmetric unit holds Tb at (0.0000, 0.1096, 0.0000), Tb at (0.0000, 0.1161, 0.5826), Pr at (0.0000, 0.2026, 0.2725), Sm at (0.0000, 0.0169, 0.2874), Sm at (0.0000, 0.2818, 0.5698), Sm at (0.0000, 0.2984, 0.9680), Sm at (0.0000, 0.3936, 0.2884), Sm at (0.0000, 0.4792, 0.0046) and Er at (0.0000, 0.4114, 0.7213).

Density functional theory data (GGA-PBE) for a relaxed Na2PmHg crystal.

The value obtained for the formation energy is 0.293 eV per formula unit. The density of states at the Fermi level comes out at 2.97 states/eV/f.u. The total moment comes out at 0.00 μB per formula unit. The calculation puts the total energy at -1.85 eV/atom.

The space group is R-3m (No. 166, hexagonal axes) and the conventional cell measures 3.4764, 3.4764 and 35.7769 Å, with angles of 90.00, 90.00 and 120.00 degrees. The asymmetric unit holds Na at (0.0000, 0.0000, 0.0954), Pm at (0.0000, 0.0000, 0.0000) and Hg at (0.0000, 0.0000, 0.5000).

Density functional theory data (GGA-PBE) for a relaxed InMo2As crystal.

The value obtained for the formation energy is 0.707 eV per formula unit. The density of states at the Fermi level comes out at 3.95 states/eV/f.u. The total moment comes out at 0.00 μB per formula unit. The calculation puts the total energy at -7.09 eV/atom.

The space group is P4/mmm (No. 123) and the conventional cell measures 3.1374, 3.1374 and 6.9875 Å, with angles of 90.00, 90.00 and 90.00 degrees. The asymmetric unit holds In at (0.0000, 0.0000, 0.0000), Mo at (0.5000, 0.5000, 0.3006) and As at (0.0000, 0.0000, 0.5000).

Density functional theory data (GGA-PBE) for a relaxed LiPa2WN6 crystal.

The density of states at the Fermi level comes out at 6.44 states/eV/f.u. The total moment comes out at 0.00 μB per formula unit. The calculation puts the total energy at -9.34 eV/atom. The formation energy (no corrections) comes out at -0.96 eV per atom.

The space group is P2_1/c (No. 14) and the conventional cell measures 5.4527, 5.7969 and 9.3551 Å, with angles of 90.00, 123.72 and 90.00 degrees. The asymmetric unit holds Li at (0.0000, 0.0000, 0.0000), Pa at (0.2176, 0.0759, 0.7390), W at (0.5000, 0.0000, 0.5000), N at (0.1383, 0.1727, 0.4446), N at (0.2471, 0.7065, 0.4173) and N at (0.3990, 0.0683, 0.2619).

Density functional theory data (GGA-PBE) for a relaxed Rb3Ac3AlO8 crystal.

The density of states at the Fermi level comes out at 10.70 states/eV/f.u. The total moment comes out at 0.92 μB per formula unit. The calculation puts the total energy at -6.25 eV/atom. The formation energy (no corrections) comes out at -2.34 eV per atom.

The space group is R-3m (No. 166, hexagonal axes) and the conventional cell measures 7.3039, 7.3039 and 20.0734 Å, with angles of 90.00, 90.00 and 120.00 degrees. The asymmetric unit holds Rb at (0.0000, 0.5000, 0.0000), Ac at (0.0000, 0.5000, 0.5000), Al at (0.0000, 0.0000, 0.5000), O at (0.0000, 0.0000, 0.2302) and O at (0.0533, 0.5266, 0.2207).

Density functional theory data (GGA-PBE) for a relaxed Rb2ZrNbTe crystal.

The density of states at the Fermi level comes out at 5.57 states/eV/f.u. The total moment comes out at 6.78 μB per formula unit. The calculation puts the total energy at -3.44 eV/atom. The formation energy (no corrections) comes out at 1.30 eV per atom.

The space group is P4/mmm (No. 123) and the conventional cell measures 7.0823, 7.0823 and 5.3044 Å, with angles of 90.00, 90.00 and 90.00 degrees. The asymmetric unit holds Rb at (0.0000, 0.5000, 0.0000), Zr at (0.0000, 0.0000, 0.5000), Nb at (0.5000, 0.5000, 0.0000) and Te at (0.5000, 0.5000, 0.5000).